LaGa2Ni2Ir after structural relaxation, computed with PBE.

Properties
Fermi-level density of states = 0.5269 states/eV per atom
Final energy = -5.379 eV per atom
ΔE_f = -14 kJ/mol of atoms
Total magnetization = 0.0 μB/f.u.

abc: 4.7355 4.7355 5.3799
angles: 90.00 90.00 90.00
Element x y z (fractional)
La 0.0000 0.0000 0.5000
Ga 0.5000 0.0000 0.0000
Ga 0.0000 0.5000 0.0000
Ni 0.5000 0.5000 0.7549
Ni 0.5000 0.5000 0.2451
Ir 0.0000 0.0000 0.0000


La2Ga3Ni12Ir after structural relaxation, computed with PBE.

Properties
Fermi-level density of states = 1.0485 states/eV per atom
Final energy = -5.413 eV per atom
ΔE_f = -1 kJ/mol of atoms
Total magnetization = 0.0 μB/f.u.

abc: 9.3683 9.3683 9.3683
angles: 37.94 37.94 37.94
Element x y z (fractional)
La 0.6532 0.6532 0.6532
La 0.3468 0.3468 0.3468
Ga 0.5000 0.0000 0.0000
Ga 0.0000 0.5000 0.0000
Ga 0.0000 0.0000 0.5000
Ni 0.4174 0.4174 0.8094
Ni 0.9331 0.9331 0.3533
Ni 0.3533 0.9331 0.9331
Ni 0.8094 0.4174 0.4174
Ni 0.9331 0.3533 0.9331
Ni 0.4174 0.8094 0.4174
Ni 0.5826 0.5826 0.1906
Ni 0.0669 0.0669 0.6467
Ni 0.6467 0.0669 0.0669
Ni 0.1906 0.5826 0.5826
Ni 0.0669 0.6467 0.0669
Ni 0.5826 0.1906 0.5826
Ir 0.0000 0.0000 0.0000


La2Ga3NiIr4 after structural relaxation, computed with PBE.

Properties
Fermi-level density of states = 0.6536 states/eV per atom
Final energy = -6.627 eV per atom
ΔE_f = -59 kJ/mol of atoms
Total magnetization = 0.7 μB/f.u.

abc: 4.2561 4.2561 10.3986
angles: 90.00 90.00 90.00
Element x y z (fractional)
La 0.5000 0.0000 0.2495
La 0.0000 0.5000 0.7505
Ga 0.0000 0.0000 0.5000
Ga 0.5000 0.0000 0.8727
Ga 0.0000 0.5000 0.1273
Ni 0.5000 0.5000 0.5000
Ir 0.5000 0.5000 0.0000
Ir 0.0000 0.0000 0.0000
Ir 0.5000 0.0000 0.6327
Ir 0.0000 0.5000 0.3673


> final energy of number 2 (La2Ga3Ni12Ir)?

-5.413 eV per atom